Material: LiCoSiIr
Method: DFT, PBE-GGA
State: optimized geometry

Geometry as CIF:
```
data_LiCoSiIr
_cell_length_a 3.9985
_cell_length_b 3.9985
_cell_length_c 3.9985
_cell_angle_alpha 60.00
_cell_angle_beta 60.00
_cell_angle_gamma 60.00
_symmetry_space_group_name_H-M 'P 1'
_symmetry_Int_Tables_number 1
loop_
_symmetry_equiv_pos_as_xyz
'x,y,z'
loop_
_atom_site_label
_atom_site_fract_x
_atom_site_fract_y
_atom_site_fract_z
Co1 0.7500 0.7500 0.7500
Ir1 0.2500 0.2500 0.2500
Li1 0.5000 0.5000 0.5000
Si1 0.0000 0.0000 0.0000
```

Results
The raw total energy comes out at -6.38 eV per atom.

---

Material: Li2ZrCoSi2Ir2
Method: DFT, PBE-GGA
State: optimized geometry

Geometry as CIF:
```
data_Li2ZrCoSi2Ir2
_cell_length_a 4.2424
_cell_length_b 4.2424
_cell_length_c 6.0737
_cell_angle_alpha 90.00
_cell_angle_beta 90.00
_cell_angle_gamma 90.00
_symmetry_space_group_name_H-M 'P 1'
_symmetry_Int_Tables_number 1
loop_
_symmetry_equiv_pos_as_xyz
'x,y,z'
loop_
_atom_site_label
_atom_site_fract_x
_atom_site_fract_y
_atom_site_fract_z
Co1 0.0000 0.0000 0.5000
Ir1 0.5000 0.0000 0.2591
Ir2 0.0000 0.5000 0.7409
Li1 0.0000 0.5000 0.2859
Li2 0.5000 0.0000 0.7141
Si1 0.0000 0.0000 0.0000
Si2 0.5000 0.5000 0.5000
Zr1 0.5000 0.5000 0.0000
```

Results
The raw total energy comes out at -6.50 eV per atom.